Y3Mg3Cu2Ag: relaxed, PBE-GGA.

Output
* total magnetization: 0.04 Bohr magnetons per cell
* total energy: -4.05 eV per atom

Unit cell a=7.4827 b=7.4827 c=4.0741 alpha=90.00 beta=90.00 gamma=120.00
Space group P-62m (No. 189)
Asymmetric unit:
Y (0.0000, 0.5809, 0.0000) (multiplicity 3)
Mg (0.0000, 0.2498, 0.5000) (multiplicity 3)
Cu (0.3333, 0.6667, 0.5000) (multiplicity 2)
Ag (0.0000, 0.0000, 0.0000) (multiplicity 1)